1.
Density functional theory data (GGA-PBE) for a geometry-optimized SmHo2Ga6 structure.

a = 7.3030 Å, b = 7.3030 Å, c = 4.1418 Å
α = 90.00°, β = 90.00°, γ = 120.00°
Positions (direct):
Sm 0.0000 0.0000 0.0000
Ho 0.3333 0.6667 0.0000
Ho 0.6667 0.3333 0.0000
Ga 0.0000 0.3342 0.5000
Ga 0.0000 0.6658 0.5000
Ga 0.3342 0.0000 0.5000
Ga 0.3342 0.3342 0.5000
Ga 0.6658 0.0000 0.5000
Ga 0.6658 0.6658 0.5000

Output
Fermi-level density of states in states/eV/cell: 5.99
Distance to the lowest polymorph of the same formula in eV/atom: 0.000
Energy of formation in meV per atom: -637
Symmetry: P6/mmm (191)
Total magnetic moment in μB/f.u.: 0.0

2.
Density functional theory data (GGA-PBE) for a geometry-optimized Cu2TcAu structure.

a = 2.6909 Å, b = 2.6909 Å, c = 7.8183 Å
α = 90.00°, β = 90.00°, γ = 90.00°
Positions (direct):
Cu 0.0000 0.0000 0.0000
Cu 0.5000 0.5000 0.2184
Tc 0.0000 0.0000 0.4572
Au 0.5000 0.5000 0.7406

Output
Fermi-level density of states in states/eV/cell: 2.57
Distance to the lowest polymorph of the same formula in eV/atom: 0.032
Energy of formation in meV per atom: 195
Symmetry: P4mm (99)
Total magnetic moment in μB/f.u.: 0.0

3.
Density functional theory data (GGA-PBE) for a geometry-optimized InCoN2 structure.

a = 5.7421 Å, b = 5.7421 Å, c = 5.7421 Å
α = 131.66°, β = 131.66°, γ = 70.77°
Positions (direct):
In 0.0000 0.0000 0.0000
In 0.7500 0.2500 0.5000
Co 0.2500 0.7500 0.5000
Co 0.5000 0.5000 0.0000
N 0.1861 0.6250 0.0611
N 0.3750 0.4361 0.5611
N 0.5639 0.1250 0.9389
N 0.8750 0.8139 0.4389

Output
Fermi-level density of states in states/eV/cell: 4.95
Symmetry: I-42d (122)
E_form (uncorrected) in meV/atom: 401
Total magnetic moment in μB/f.u.: 1.6

4.
Density functional theory data (GGA-PBE) for a geometry-optimized NbAgBr5 structure.

a = 7.3164 Å, b = 7.3164 Å, c = 10.3689 Å
α = 109.99°, β = 109.99°, γ = 91.68°
Positions (direct):
Nb 0.0000 0.0000 0.0000
Nb 0.0000 0.0000 0.5000
Ag 0.3581 0.6419 0.7500
Ag 0.6419 0.3581 0.2500
Br 0.0613 0.9387 0.2500
Br 0.1830 0.7032 0.5037
Br 0.2328 0.3299 0.1453
Br 0.2968 0.8170 0.9963
Br 0.3299 0.2328 0.6453
Br 0.6701 0.7672 0.3547
Br 0.7032 0.1830 0.0037
Br 0.7672 0.6701 0.8547
Br 0.8170 0.2968 0.4963
Br 0.9387 0.0613 0.7500

Output
Fermi-level density of states in states/eV/cell: 7.24
Symmetry: C2/c (15)
E_form (uncorrected) in meV/atom: -634
Total magnetic moment in μB/f.u.: 1.0

5.
Density functional theory data (GGA-PBE) for a geometry-optimized Sm3MgS structure.

a = 5.3638 Å, b = 5.3638 Å, c = 5.3638 Å
α = 90.00°, β = 90.00°, γ = 90.00°
Positions (direct):
Sm 0.0000 0.0000 0.5000
Sm 0.0000 0.5000 0.0000
Sm 0.5000 0.0000 0.0000
Mg 0.5000 0.5000 0.5000
S 0.0000 0.0000 0.0000

Output
Fermi-level density of states in states/eV/cell: 3.14
Symmetry: Pm-3m (221)
E_form (uncorrected) in meV/atom: -717
Total magnetic moment in μB/f.u.: 0.0

6.
Density functional theory data (GGA-PBE) for a geometry-optimized NbGaHSI structure.

a = 3.3984 Å, b = 5.2215 Å, c = 7.2512 Å
α = 94.77°, β = 103.40°, γ = 108.94°
Positions (direct):
Nb 0.0000 0.0000 0.0000
Ga 0.2729 0.5472 0.9964
H 0.7519 0.6434 0.8584
S 0.7413 0.2844 0.2010
I 0.3629 0.0433 0.6792

Output
Fermi-level density of states in states/eV/cell: 0.00
Distance to the lowest polymorph of the same formula in eV/atom: 0.057
Symmetry: P1 (1)
Total magnetic moment in μB/f.u.: 0.0

7.
Density functional theory data (GGA-PBE) for a geometry-optimized NaSn2SbIr structure.

a = 5.2029 Å, b = 5.2029 Å, c = 4.8498 Å
α = 90.00°, β = 90.00°, γ = 90.00°
Positions (direct):
Na 0.0000 0.0000 0.0000
Sn 0.0000 0.5000 0.0000
Sn 0.5000 0.0000 0.0000
Sb 0.5000 0.5000 0.5000
Ir 0.0000 0.0000 0.5000

Output
Fermi-level density of states in states/eV/cell: 4.24
Distance to the lowest polymorph of the same formula in eV/atom: 0.477
Symmetry: P4/mmm (123)
E_form (uncorrected) in meV/atom: 1143
Total magnetic moment in μB/f.u.: 0.0

8.
Density functional theory data (GGA-PBE) for a geometry-optimized La2TmAl2 structure.

a = 5.8897 Å, b = 5.8897 Å, c = 5.8897 Å
α = 129.68°, β = 108.45°, γ = 92.58°
Positions (direct):
La 0.1949 0.1949 0.0000
La 0.8051 0.8051 0.0000
Tm 0.5000 0.0000 0.5000
Al 0.2006 0.5000 0.7006
Al 0.7994 0.5000 0.2994

Output
Fermi-level density of states in states/eV/cell: 4.04
Distance to the lowest polymorph of the same formula in eV/atom: 0.000
Energy of formation in meV per atom: -299
Symmetry: Immm (71)
Total magnetic moment in μB/f.u.: 0.0

9.
Density functional theory data (GGA-PBE) for a geometry-optimized KHfHg3 structure.

a = 5.7507 Å, b = 5.7507 Å, c = 5.7507 Å
α = 90.00°, β = 90.00°, γ = 90.00°
Positions (direct):
K 0.0000 0.0000 0.0000
Hf 0.5000 0.5000 0.5000
Hg 0.0000 0.0000 0.5000
Hg 0.0000 0.5000 0.0000
Hg 0.5000 0.0000 0.0000

Output
Fermi-level density of states in states/eV/cell: 8.79
Distance to the lowest polymorph of the same formula in eV/atom: 0.917
Energy of formation in meV per atom: 1125
Symmetry: Pm-3m (221)
Total magnetic moment in μB/f.u.: 2.4

10.
Density functional theory data (GGA-PBE) for a geometry-optimized PrSm12Ho7 structure.

a = 8.8187 Å, b = 8.8187 Å, c = 8.8187 Å
α = 98.22°, β = 98.22°, γ = 98.22°
Positions (direct):
Pr 0.0000 0.0000 0.0000
Sm 0.0909 0.3589 0.3589
Sm 0.2379 0.5000 0.7621
Sm 0.2379 0.7621 0.5000
Sm 0.3589 0.0909 0.3589
Sm 0.3589 0.3589 0.0909
Sm 0.5000 0.2379 0.7621
Sm 0.5000 0.7621 0.2379
Sm 0.6411 0.6411 0.9091
Sm 0.6411 0.9091 0.6411
Sm 0.7621 0.2379 0.5000
Sm 0.7621 0.5000 0.2379
Sm 0.9091 0.6411 0.6411
Ho 0.0979 0.0979 0.6589
Ho 0.0979 0.6589 0.0979
Ho 0.3411 0.9021 0.9021
Ho 0.5000 0.5000 0.5000
Ho 0.6589 0.0979 0.0979
Ho 0.9021 0.3411 0.9021
Ho 0.9021 0.9021 0.3411

Output
Fermi-level density of states in states/eV/cell: 38.84
Distance to the lowest polymorph of the same formula in eV/atom: 0.000
Energy of formation in meV per atom: 103
Symmetry: R-3m (166)
Total magnetic moment in μB/f.u.: 0.5

11.
Density functional theory data (GGA-PBE) for a geometry-optimized YScAsH structure.

a = 4.0444 Å, b = 4.0444 Å, c = 8.4015 Å
α = 90.00°, β = 90.00°, γ = 90.00°
Positions (direct):
Y 0.2500 0.2500 0.1430
Y 0.7500 0.7500 0.8570
Sc 0.2500 0.7500 0.5000
Sc 0.7500 0.2500 0.5000
As 0.2500 0.2500 0.7274
As 0.7500 0.7500 0.2726
H 0.2500 0.7500 0.0000
H 0.7500 0.2500 0.0000

Output
Fermi-level density of states in states/eV/cell: 3.33
Total energy in eV/atom: -6.1598
Symmetry: P4/nmm (129)
Total magnetic moment in μB/f.u.: 0.3

12.
Density functional theory data (GGA-PBE) for a geometry-optimized NaMgGa2Pd structure.

a = 4.8582 Å, b = 4.8582 Å, c = 5.0364 Å
α = 90.00°, β = 90.00°, γ = 90.00°
Positions (direct):
Na 0.0000 0.0000 0.0000
Mg 0.5000 0.5000 0.0000
Ga 0.0000 0.5000 0.5000
Ga 0.5000 0.0000 0.5000
Pd 0.5000 0.5000 0.5000

Output
Fermi-level density of states in states/eV/cell: 2.37
Energy of formation in meV per atom: -203
Symmetry: P4/mmm (123)
Total magnetic moment in μB/f.u.: 0.0

13.
Density functional theory data (GGA-PBE) for a geometry-optimized LiScRe2 structure.

a = 2.7225 Å, b = 4.6605 Å, c = 5.0100 Å
α = 90.00°, β = 98.70°, γ = 90.00°
Positions (direct):
Li 0.0000 0.0000 0.0000
Sc 0.5000 0.0000 0.5000
Re 0.2150 0.5000 0.7469
Re 0.7850 0.5000 0.2531

Output
Fermi-level density of states in states/eV/cell: 3.20
Distance to the lowest polymorph of the same formula in eV/atom: 0.187
Energy of formation in meV per atom: 166
Symmetry: P2/m (10)
Total magnetic moment in μB/f.u.: 0.0

14.
Density functional theory data (GGA-PBE) for a geometry-optimized Na2NpTl2S4 structure.

a = 8.6053 Å, b = 8.6053 Å, c = 7.8362 Å
α = 105.02°, β = 105.02°, γ = 27.22°
Positions (direct):
Na 0.1709 0.1709 0.3779
Na 0.8291 0.8291 0.6221
Np 0.5000 0.5000 0.5000
Tl 0.3741 0.3741 0.0494
Tl 0.6259 0.6259 0.9506
S 0.0012 0.0012 0.7382
S 0.3374 0.3374 0.3862
S 0.6626 0.6626 0.6138
S 0.9988 0.9988 0.2618

Output
Fermi-level density of states in states/eV/cell: 8.94
Symmetry: C2/m (12)
E_form (uncorrected) in meV/atom: -867
Total magnetic moment in μB/f.u.: 3.0

15.
Density functional theory data (GGA-PBE) for a geometry-optimized Sb2Pb2F structure.

a = 7.2458 Å, b = 7.2458 Å, c = 5.3285 Å
α = 90.00°, β = 90.00°, γ = 90.00°
Positions (direct):
Sb 0.1395 0.3605 0.0000
Sb 0.3605 0.8605 0.0000
Sb 0.6395 0.1395 0.0000
Sb 0.8605 0.6395 0.0000
Pb 0.1882 0.6882 0.5000
Pb 0.3118 0.1882 0.5000
Pb 0.6882 0.8118 0.5000
Pb 0.8118 0.3118 0.5000
F 0.0000 0.0000 0.5000
F 0.5000 0.5000 0.5000

Output
Fermi-level density of states in states/eV/cell: 7.32
Distance to the lowest polymorph of the same formula in eV/atom: 0.000
Symmetry: P4/mbm (127)
E_form (uncorrected) in meV/atom: -508
Total magnetic moment in μB/f.u.: 0.0

16.
Density functional theory data (GGA-PBE) for a geometry-optimized LiTe2Br6 structure.

a = 10.4881 Å, b = 10.4881 Å, c = 7.7782 Å
α = 104.43°, β = 104.43°, γ = 69.94°
Positions (direct):
Li 0.0123 0.9877 0.7500
Li 0.9877 0.0123 0.2500
Te 0.0793 0.4151 0.6653
Te 0.4151 0.0793 0.1653
Te 0.5849 0.9207 0.8347
Te 0.9207 0.5849 0.3347
Br 0.0378 0.8143 0.4381
Br 0.1720 0.6185 0.8340
Br 0.1857 0.9622 0.0619
Br 0.2545 0.2760 0.4419
Br 0.2760 0.2545 0.9419
Br 0.3815 0.8280 0.6660
Br 0.6185 0.1720 0.3340
Br 0.7240 0.7455 0.0581
Br 0.7455 0.7240 0.5581
Br 0.8143 0.0378 0.9381
Br 0.8280 0.3815 0.1660
Br 0.9622 0.1857 0.5619

Output
Fermi-level density of states in states/eV/cell: 8.60
Symmetry: C2/c (15)
E_form (uncorrected) in meV/atom: -479
Total magnetic moment in μB/f.u.: 0.0

17.
Density functional theory data (GGA-PBE) for a geometry-optimized KCo2Os structure.

a = 2.6747 Å, b = 2.6747 Å, c = 8.9596 Å
α = 90.00°, β = 90.00°, γ = 90.00°
Positions (direct):
K 0.0000 0.0000 0.0000
Co 0.0000 0.0000 0.5091
Co 0.5000 0.5000 0.6816
Os 0.5000 0.5000 0.3158

Output
Fermi-level density of states in states/eV/cell: 4.96
Distance to the lowest polymorph of the same formula in eV/atom: 0.115
Energy of formation in meV per atom: 802
Symmetry: P4mm (99)
Total magnetic moment in μB/f.u.: 2.5

18.
Density functional theory data (GGA-PBE) for a geometry-optimized SrLiW2 structure.

a = 2.7297 Å, b = 2.7297 Å, c = 10.1104 Å
α = 90.00°, β = 90.00°, γ = 90.00°
Positions (direct):
Sr 0.0000 0.0000 0.0000
Li 0.0000 0.0000 0.5000
W 0.5000 0.5000 0.2761
W 0.5000 0.5000 0.7239

Output
Fermi-level density of states in states/eV/cell: 4.41
Distance to the lowest polymorph of the same formula in eV/atom: 0.464
Energy of formation in meV per atom: 1093
Symmetry: P4/mmm (123)
Total magnetic moment in μB/f.u.: 0.0

19.
Density functional theory data (GGA-PBE) for a geometry-optimized TiZnMo2Pd structure.

a = 4.4752 Å, b = 4.4752 Å, c = 4.7433 Å
α = 90.00°, β = 90.00°, γ = 90.00°
Positions (direct):
Ti 0.0000 0.0000 0.0000
Zn 0.0000 0.0000 0.5000
Mo 0.0000 0.5000 0.0000
Mo 0.5000 0.0000 0.0000
Pd 0.5000 0.5000 0.5000

Output
Fermi-level density of states in states/eV/cell: 5.89
Energy of formation in meV per atom: 1282
Symmetry: P4/mmm (123)
Total magnetic moment in μB/f.u.: 0.0

20.
Density functional theory data (GGA-PBE) for a geometry-optimized NaNp2U3Se6 structure.

a = 9.2594 Å, b = 9.2594 Å, c = 8.3948 Å
α = 106.10°, β = 106.10°, γ = 24.80°
Positions (direct):
Na 0.0000 0.0000 0.0000
Np 0.3312 0.3312 0.6635
Np 0.6688 0.6688 0.3365
U 0.0000 0.0000 0.5000
U 0.3332 0.3332 0.1682
U 0.6668 0.6668 0.8318
Se 0.1652 0.1652 0.0820
Se 0.1656 0.1656 0.5822
Se 0.5002 0.5002 0.2501
Se 0.4998 0.4998 0.7499
Se 0.8344 0.8344 0.4178
Se 0.8348 0.8348 0.9180

Output
Fermi-level density of states in states/eV/cell: 29.55
Symmetry: C2/m (12)
E_form (uncorrected) in meV/atom: -1049
Total magnetic moment in μB/f.u.: 0.9